Record 1
TaF6: optimized geometry, PBE.

Values from the calculation:
Formation energy from raw total energies: -244.4 kJ/mol of atoms
D(E_F): 1.63 states/eV per atom

abc: 5.1938 5.1938 5.1938
angles: 109.47 109.47 109.47
Element x y z (fractional)
Ta (0.0000, 0.0000, 0.0000)
F (0.0000, 0.3174, 0.3174)
F (0.0000, 0.6826, 0.6826)
F (0.3174, 0.0000, 0.3174)
F (0.3174, 0.3174, 0.0000)
F (0.6826, 0.0000, 0.6826)
F (0.6826, 0.6826, 0.0000)

Record 2
Cs2CaCl: optimized geometry, PBE.

Values from the calculation:
Formation energy from raw total energies: -35.1 kJ/mol of atoms
D(E_F): 0.83 states/eV per atom

abc: 7.0479 7.0479 7.0479
angles: 60.00 60.00 60.00
Element x y z (fractional)
Cs (0.2500, 0.2500, 0.2500)
Cs (0.7500, 0.7500, 0.7500)
Ca (0.0000, 0.0000, 0.0000)
Cl (0.5000, 0.5000, 0.5000)

Record 3
ScCdMo2: optimized geometry, PBE.

Values from the calculation:
D(E_F): 0.62 states/eV per atom
E_form: 0.3154 eV/atom

abc: 2.7745 4.7088 5.6496
angles: 90.00 90.00 90.00
Element x y z (fractional)
Sc (0.0000, 0.0000, 0.0000)
Cd (0.0000, 0.0000, 0.5000)
Mo (0.5000, 0.5000, 0.2248)
Mo (0.5000, 0.5000, 0.7752)

Record 4
KLiSi2Tc: optimized geometry, PBE.

Values from the calculation:
Formation energy from raw total energies: 5.4 kJ/mol of atoms
D(E_F): 0.36 states/eV per atom

abc: 4.6471 4.6471 5.1995
angles: 90.00 90.00 90.00
Element x y z (fractional)
K (0.0000, 0.0000, 0.0000)
Li (0.5000, 0.5000, 0.0000)
Si (0.0000, 0.5000, 0.5000)
Si (0.5000, 0.0000, 0.5000)
Tc (0.5000, 0.5000, 0.5000)

Record 5
MgMnGaSiS: optimized geometry, PBE.

Values from the calculation:
Formation energy from raw total energies: -30.9 kJ/mol of atoms
D(E_F): 0.35 states/eV per atom
Distance to the lowest polymorph of the same formula: 0 meV per atom

abc: 6.5714 6.5714 6.5714
angles: 35.94 35.94 35.94
Element x y z (fractional)
Mg (0.0000, 0.0000, 0.0000)
Mn (0.8436, 0.8436, 0.8436)
Ga (0.5615, 0.5615, 0.5615)
Si (0.1842, 0.1842, 0.1842)
S (0.7164, 0.7164, 0.7164)

Record 6
MnCo2As2: optimized geometry, PBE.

Values from the calculation:
D(E_F): 1.01 states/eV per atom
Distance to the lowest polymorph of the same formula: 22 meV per atom
E_form: 0.0100 eV/atom

abc: 6.7836 6.7836 2.8464
angles: 90.00 90.00 90.00
Element x y z (fractional)
Mn (0.0000, 0.0000, 0.0000)
Mn (0.5000, 0.5000, 0.0000)
Co (0.1376, 0.3624, 0.5000)
Co (0.3624, 0.8624, 0.5000)
Co (0.6376, 0.1376, 0.5000)
Co (0.8624, 0.6376, 0.5000)
As (0.1576, 0.6576, 0.0000)
As (0.3424, 0.1576, 0.0000)
As (0.6576, 0.8424, 0.0000)
As (0.8424, 0.3424, 0.0000)

Record 7
FeTcP: optimized geometry, PBE.

Values from the calculation:
D(E_F): 0.64 states/eV per atom
Distance to the lowest polymorph of the same formula: 100 meV per atom
E_form: -0.4798 eV/atom

abc: 3.5838 3.5838 5.6485
angles: 90.00 90.00 90.00
Element x y z (fractional)
Fe (0.2500, 0.7500, 0.0000)
Fe (0.7500, 0.2500, 0.0000)
Tc (0.2500, 0.2500, 0.3551)
Tc (0.7500, 0.7500, 0.6449)
P (0.2500, 0.2500, 0.7601)
P (0.7500, 0.7500, 0.2399)

no.,ρ (g/cm³)
1,4.5
2,2.3
3,7.9
4,3.0
5,4.0
6,8.2
7,8.5